Below is crystalline MnCuBiSe3 at its relaxed geometry, with properties calculated at the PBE level.

The structure in POSCAR format:
```
MnCuBiSe3
1.0
3.8946 0.0000 0.0000
0.0000 7.4165 -0.4345
0.0000 -2.1777 9.3054
Mn Cu Bi Se
2 2 2 6
Direct
0.2500 0.6997 0.1676 Mn
0.7500 0.3003 0.8324 Mn
0.2500 0.0884 0.5888 Cu
0.7500 0.9116 0.4112 Cu
0.2500 0.2630 0.2825 Bi
0.7500 0.7370 0.7175 Bi
0.7500 0.9448 0.1655 Se
0.2500 0.0552 0.8345 Se
0.2500 0.7238 0.4565 Se
0.7500 0.2762 0.5435 Se
0.7500 0.4302 0.1239 Se
0.2500 0.5698 0.8761 Se
```

Computed properties:
**Space group**: P2_1/m, No. 11
**Size of the total moment**: 5.0 μB per formula unit
**Formation energy from raw total energies**: -0.26 eV/atom
**D(E_F)**: 0.94 states/eV per cell